Entry 1:
The following is a DFT calculation (PBE) of a relaxed structure of ZrTa2Si2.

```
data_ZrTa2Si2
_symmetry_space_group_name_H-M 'P 1'
_symmetry_Int_Tables_number 1
_symmetry_space_group_name_Hall 'P 1'
_cell_length_a 6.899
_cell_length_b 6.899
_cell_length_c 3.509
_cell_angle_alpha 90.00
_cell_angle_beta 90.00
_cell_angle_gamma 90.00
loop_
_atom_site_label
_atom_site_fract_x
_atom_site_fract_y
_atom_site_fract_z
Si1 0.375 0.875 0.000
Si2 0.875 0.625 0.000
Si3 0.625 0.125 0.000
Si4 0.125 0.375 0.000
Zr1 0.000 0.000 0.000
Zr2 0.500 0.500 0.000
Ta1 0.170 0.670 0.500
Ta2 0.670 0.830 0.500
Ta3 0.830 0.330 0.500
Ta4 0.330 0.170 0.500
```

Calculated values
energy above the most stable polymorph in this dataset	0.00	eV per formula unit
crystal system	tetragonal
DFT total energy	-9.2623	eV/atom


Entry 2:
The following is a DFT calculation (PBE) of a relaxed structure of ZrTa2Si.

```
data_ZrTa2Si
_symmetry_space_group_name_H-M 'P 1'
_symmetry_Int_Tables_number 1
_symmetry_space_group_name_Hall 'P 1'
_cell_length_a 4.257
_cell_length_b 3.448
_cell_length_c 5.358
_cell_angle_alpha 71.33
_cell_angle_beta 90.00
_cell_angle_gamma 90.00
loop_
_atom_site_label
_atom_site_fract_x
_atom_site_fract_y
_atom_site_fract_z
Si1 0.500 0.953 0.718
Ta1 0.000 0.790 0.045
Ta2 0.500 0.235 0.156
Zr1 0.000 0.521 0.581
```

Calculated values
crystal system	monoclinic
DFT total energy	-9.6241	eV/atom


Entry 3:
The following is a DFT calculation (PBE) of a relaxed structure of ZrTa2Si.

```
data_ZrTa2Si
_symmetry_space_group_name_H-M 'P 1'
_symmetry_Int_Tables_number 1
_symmetry_space_group_name_Hall 'P 1'
_cell_length_a 5.242
_cell_length_b 5.242
_cell_length_c 5.242
_cell_angle_alpha 139.34
_cell_angle_beta 128.30
_cell_angle_gamma 67.76
loop_
_atom_site_label
_atom_site_fract_x
_atom_site_fract_y
_atom_site_fract_z
Si1 0.242 0.742 0.500
Ta1 0.005 0.005 0.000
Ta2 0.755 0.255 0.500
Zr1 0.498 0.498 0.000
```

Calculated values
crystal system	orthorhombic
DFT total energy	-9.5272	eV/atom


Entry 4:
The following is a DFT calculation (PBE) of a relaxed structure of ZrTa2Si.

```
data_ZrTa2Si
_symmetry_space_group_name_H-M 'P 1'
_symmetry_Int_Tables_number 1
_symmetry_space_group_name_Hall 'P 1'
_cell_length_a 5.383
_cell_length_b 5.383
_cell_length_c 5.383
_cell_angle_alpha 141.81
_cell_angle_beta 130.31
_cell_angle_gamma 64.35
loop_
_atom_site_label
_atom_site_fract_x
_atom_site_fract_y
_atom_site_fract_z
Si1 0.250 0.750 0.500
Ta1 0.006 0.006 0.000
Ta2 0.494 0.494 0.000
Zr1 0.750 0.250 0.500
```

Calculated values
crystal system	orthorhombic
DFT total energy	-9.5626	eV/atom


Entry 5:
The following is a DFT calculation (PBE) of a relaxed structure of ZrTa2Si.

```
data_ZrTa2Si
_symmetry_space_group_name_H-M 'P 1'
_symmetry_Int_Tables_number 1
_symmetry_space_group_name_Hall 'P 1'
_cell_length_a 4.983
_cell_length_b 4.983
_cell_length_c 4.810
_cell_angle_alpha 76.26
_cell_angle_beta 76.26
_cell_angle_gamma 38.77
loop_
_atom_site_label
_atom_site_fract_x
_atom_site_fract_y
_atom_site_fract_z
Si1 0.250 0.250 0.250
Ta1 0.984 0.984 0.029
Ta2 0.516 0.516 0.471
Zr1 0.750 0.750 0.750
```

Calculated values
crystal system	monoclinic
DFT total energy	-9.5760	eV/atom


Entry 6:
The following is a DFT calculation (PBE) of a relaxed structure of ZrTa2Si.

```
data_ZrTa2Si
_symmetry_space_group_name_H-M 'P 1'
_symmetry_Int_Tables_number 1
_symmetry_space_group_name_Hall 'P 1'
_cell_length_a 4.970
_cell_length_b 4.970
_cell_length_c 4.729
_cell_angle_alpha 71.07
_cell_angle_beta 71.07
_cell_angle_gamma 41.31
loop_
_atom_site_label
_atom_site_fract_x
_atom_site_fract_y
_atom_site_fract_z
Si1 0.257 0.257 0.209
Ta1 0.992 0.992 0.033
Ta2 0.743 0.743 0.755
Zr1 0.507 0.507 0.504
```

Calculated values
crystal system	monoclinic
DFT total energy	-9.5423	eV/atom


Entry 7:
The following is a DFT calculation (PBE) of a relaxed structure of ZrTa2Si.

```
data_ZrTa2Si
_symmetry_space_group_name_H-M 'P 1'
_symmetry_Int_Tables_number 1
_symmetry_space_group_name_Hall 'P 1'
_cell_length_a 4.604
_cell_length_b 3.953
_cell_length_c 3.953
_cell_angle_alpha 90.00
_cell_angle_beta 90.00
_cell_angle_gamma 90.00
loop_
_atom_site_label
_atom_site_fract_x
_atom_site_fract_y
_atom_site_fract_z
Si1 0.500 0.000 0.500
Ta1 0.000 0.000 0.000
Ta2 0.000 0.500 0.500
Zr1 0.500 0.500 0.000
```

Calculated values
crystal system	tetragonal
DFT total energy	-9.6272	eV/atom


Entry 8:
The following is a DFT calculation (PBE) of a relaxed structure of ZrTa2Si.

```
data_ZrTa2Si
_symmetry_space_group_name_H-M 'P 1'
_symmetry_Int_Tables_number 1
_symmetry_space_group_name_Hall 'P 1'
_cell_length_a 3.622
_cell_length_b 5.336
_cell_length_c 8.056
_cell_angle_alpha 90.00
_cell_angle_beta 90.00
_cell_angle_gamma 109.84
loop_
_atom_site_label
_atom_site_fract_x
_atom_site_fract_y
_atom_site_fract_z
Zr1 0.950 0.900 0.250
Zr2 0.050 0.100 0.750
Ta1 0.357 0.714 0.547
Ta2 0.643 0.286 0.453
Ta3 0.357 0.714 0.953
Ta4 0.643 0.286 0.047
Si1 0.763 0.527 0.750
Si2 0.237 0.473 0.250
```

Calculated values
crystal system	orthorhombic
DFT total energy	-9.8947	eV/atom


Entry 9:
The following is a DFT calculation (PBE) of a relaxed structure of ZrTa2Si.

```
data_ZrTa2Si
_symmetry_space_group_name_H-M 'P 1'
_symmetry_Int_Tables_number 1
_symmetry_space_group_name_Hall 'P 1'
_cell_length_a 9.096
_cell_length_b 9.096
_cell_length_c 9.096
_cell_angle_alpha 19.70
_cell_angle_beta 19.70
_cell_angle_gamma 19.70
loop_
_atom_site_label
_atom_site_fract_x
_atom_site_fract_y
_atom_site_fract_z
Si1 0.750 0.750 0.750
Ta1 0.008 0.008 0.008
Ta2 0.492 0.492 0.492
Zr1 0.250 0.250 0.250
```

Calculated values
crystal system	trigonal
DFT total energy	-9.3001	eV/atom


Entry 10:
The following is a DFT calculation (PBE) of a relaxed structure of ZrTa2Si.

```
data_ZrTa2Si
_symmetry_space_group_name_H-M 'P 1'
_symmetry_Int_Tables_number 1
_symmetry_space_group_name_Hall 'P 1'
_cell_length_a 4.779
_cell_length_b 3.038
_cell_length_c 5.062
_cell_angle_alpha 85.35
_cell_angle_beta 90.00
_cell_angle_gamma 90.00
loop_
_atom_site_label
_atom_site_fract_x
_atom_site_fract_y
_atom_site_fract_z
Si1 0.500 0.750 0.750
Ta1 0.000 0.951 0.995
Ta2 0.000 0.549 0.505
Zr1 0.500 0.250 0.250
```

Calculated values
crystal system	monoclinic
DFT total energy	-9.4871	eV/atom


Entry 11:
The following is a DFT calculation (PBE) of a relaxed structure of ZrTa2Si2.

```
data_ZrTa2Si2
_symmetry_space_group_name_H-M 'P 1'
_symmetry_Int_Tables_number 1
_symmetry_space_group_name_Hall 'P 1'
_cell_length_a 7.817
_cell_length_b 7.817
_cell_length_c 2.839
_cell_angle_alpha 90.00
_cell_angle_beta 90.00
_cell_angle_gamma 90.00
loop_
_atom_site_label
_atom_site_fract_x
_atom_site_fract_y
_atom_site_fract_z
Si1 0.173 0.673 0.500
Si2 0.673 0.827 0.500
Si3 0.827 0.327 0.500
Si4 0.327 0.173 0.500
Zr1 0.000 0.000 0.000
Zr2 0.500 0.500 0.000
Ta1 0.376 0.876 0.000
Ta2 0.876 0.624 0.000
Ta3 0.624 0.124 0.000
Ta4 0.124 0.376 0.000
```

Calculated values
energy above the most stable polymorph in this dataset	2.53	eV per formula unit
crystal system	tetragonal
DFT total energy	-8.7561	eV/atom


Entry 12:
The following is a DFT calculation (PBE) of a relaxed structure of ZrTa2Si.

```
data_ZrTa2Si
_symmetry_space_group_name_H-M 'P 1'
_symmetry_Int_Tables_number 1
_symmetry_space_group_name_Hall 'P 1'
_cell_length_a 2.971
_cell_length_b 2.971
_cell_length_c 8.550
_cell_angle_alpha 90.00
_cell_angle_beta 90.00
_cell_angle_gamma 105.53
loop_
_atom_site_label
_atom_site_fract_x
_atom_site_fract_y
_atom_site_fract_z
Si1 0.500 0.500 0.763
Ta1 0.000 0.000 0.980
Ta2 0.500 0.500 0.239
Zr1 0.000 0.000 0.519
```

Calculated values
crystal system	orthorhombic
DFT total energy	-9.5729	eV/atom


Entry 13:
The following is a DFT calculation (PBE) of a relaxed structure of ZrTa2Si2.

```
data_ZrTa2Si2
_symmetry_space_group_name_H-M 'P 1'
_symmetry_Int_Tables_number 1
_symmetry_space_group_name_Hall 'P 1'
_cell_length_a 3.498
_cell_length_b 3.498
_cell_length_c 7.746
_cell_angle_alpha 76.95
_cell_angle_beta 76.95
_cell_angle_gamma 90.00
loop_
_atom_site_label
_atom_site_fract_x
_atom_site_fract_y
_atom_site_fract_z
Si1 0.750 0.250 0.500
Si2 0.250 0.750 0.500
Zr1 0.000 0.000 0.000
Ta1 0.389 0.389 0.223
Ta2 0.611 0.611 0.777
```

Calculated values
energy above the most stable polymorph in this dataset	3.18	eV per formula unit
crystal system	tetragonal
DFT total energy	-8.6253	eV/atom


Entry 14:
The following is a DFT calculation (PBE) of a relaxed structure of ZrTaSi4.

```
data_ZrTaSi4
_symmetry_space_group_name_H-M 'P 1'
_symmetry_Int_Tables_number 1
_symmetry_space_group_name_Hall 'P 1'
_cell_length_a 5.000
_cell_length_b 5.000
_cell_length_c 5.000
_cell_angle_alpha 60.00
_cell_angle_beta 60.00
_cell_angle_gamma 60.00
loop_
_atom_site_label
_atom_site_fract_x
_atom_site_fract_y
_atom_site_fract_z
Zr1 0.000 0.000 0.000
Ta1 0.750 0.750 0.750
Si1 0.874 0.375 0.375
Si2 0.375 0.375 0.874
Si3 0.375 0.874 0.375
Si4 0.375 0.375 0.375
```

Calculated values
crystal system	cubic
DFT total energy	-7.0451	eV/atom


Entry 15:
The following is a DFT calculation (PBE) of a relaxed structure of TbSi.

```
data_TbSi
_symmetry_space_group_name_H-M 'P 1'
_symmetry_Int_Tables_number 1
_symmetry_space_group_name_Hall 'P 1'
_cell_length_a 3.853
_cell_length_b 5.724
_cell_length_c 7.956
_cell_angle_alpha 90.00
_cell_angle_beta 90.00
_cell_angle_gamma 90.00
loop_
_atom_site_label
_atom_site_fract_x
_atom_site_fract_y
_atom_site_fract_z
Si1 0.750 0.372 0.037
Si2 0.250 0.872 0.463
Si3 0.250 0.628 0.963
Si4 0.750 0.128 0.537
Tb1 0.750 0.885 0.180
Tb2 0.250 0.385 0.320
Tb3 0.250 0.115 0.820
Tb4 0.750 0.615 0.680
```

Calculated values
crystal system	orthorhombic
DFT total energy	-5.8536	eV/atom


Entry 16:
The following is a DFT calculation (PBE) of a relaxed structure of TbSi2.

```
data_TbSi2
_symmetry_space_group_name_H-M 'P 1'
_symmetry_Int_Tables_number 1
_symmetry_space_group_name_Hall 'P 1'
_cell_length_a 5.536
_cell_length_b 5.536
_cell_length_c 5.311
_cell_angle_alpha 105.36
_cell_angle_beta 105.36
_cell_angle_gamma 119.45
loop_
_atom_site_label
_atom_site_fract_x
_atom_site_fract_y
_atom_site_fract_z
Tb1 0.125 0.375 0.750
Tb2 0.875 0.625 0.250
Si1 0.760 0.010 0.021
Si2 0.240 0.990 0.979
Si3 0.490 0.740 0.480
Si4 0.510 0.260 0.520
```

Calculated values
crystal system	orthorhombic
DFT total energy	-5.4465	eV/atom


Entry 17:
The following is a DFT calculation (PBE) of a relaxed structure of Tb3Si5.

```
data_Tb3Si5
_symmetry_space_group_name_H-M 'P 1'
_symmetry_Int_Tables_number 1
_symmetry_space_group_name_Hall 'P 1'
_cell_length_a 5.665
_cell_length_b 7.314
_cell_length_c 8.951
_cell_angle_alpha 82.96
_cell_angle_beta 71.55
_cell_angle_gamma 67.22
loop_
_atom_site_label
_atom_site_fract_x
_atom_site_fract_y
_atom_site_fract_z
Tb1 0.975 0.387 0.662
Tb2 0.638 0.387 0.338
Tb3 0.887 0.887 0.838
Tb4 0.226 0.887 0.162
Tb5 0.552 0.896 0.500
Tb6 0.302 0.396 0.000
Si1 0.488 0.722 0.828
Si2 0.790 0.722 0.172
Si3 0.566 0.222 0.672
Si4 0.211 0.222 0.328
Si5 0.662 0.074 0.151
Si6 0.264 0.074 0.849
Si7 0.063 0.574 0.349
Si8 0.362 0.574 0.651
Si9 0.991 0.019 0.500
Si10 0.741 0.519 0.000
```

Calculated values
crystal system	orthorhombic
DFT total energy	-5.8111	eV/atom


Entry 18:
The following is a DFT calculation (PBE) of a relaxed structure of TbSi3.

```
data_TbSi3
_symmetry_space_group_name_H-M 'P 1'
_symmetry_Int_Tables_number 1
_symmetry_space_group_name_Hall 'P 1'
_cell_length_a 3.960
_cell_length_b 3.960
_cell_length_c 5.966
_cell_angle_alpha 109.38
_cell_angle_beta 109.38
_cell_angle_gamma 90.00
loop_
_atom_site_label
_atom_site_fract_x
_atom_site_fract_y
_atom_site_fract_z
Si1 0.500 0.500 0.000
Si2 0.281 0.281 0.561
Si3 0.719 0.719 0.439
Tb1 0.000 0.000 0.000
```

Calculated values
crystal system	tetragonal
DFT total energy	-5.2049	eV/atom


Entry 19:
The following is a DFT calculation (PBE) of a relaxed structure of TbSi.

```
data_TbSi
_symmetry_space_group_name_H-M 'P 1'
_symmetry_Int_Tables_number 1
_symmetry_space_group_name_Hall 'P 1'
_cell_length_a 4.059
_cell_length_b 4.059
_cell_length_c 11.063
_cell_angle_alpha 100.57
_cell_angle_beta 100.57
_cell_angle_gamma 90.00
loop_
_atom_site_label
_atom_site_fract_x
_atom_site_fract_y
_atom_site_fract_z
Tb1 0.446 0.946 0.891
Tb2 0.696 0.696 0.391
Tb3 0.304 0.304 0.609
Tb4 0.054 0.554 0.109
Si1 0.588 0.088 0.176
Si2 0.838 0.838 0.676
Si3 0.162 0.162 0.324
Si4 0.912 0.412 0.824
```

Calculated values
crystal system	tetragonal
DFT total energy	-5.8131	eV/atom


Entry 20:
The following is a DFT calculation (PBE) of a relaxed structure of TbSi2.

```
data_TbSi2
_symmetry_space_group_name_H-M 'P 1'
_symmetry_Int_Tables_number 1
_symmetry_space_group_name_Hall 'P 1'
_cell_length_a 10.836
_cell_length_b 10.836
_cell_length_c 10.836
_cell_angle_alpha 148.60
_cell_angle_beta 148.60
_cell_angle_gamma 45.01
loop_
_atom_site_label
_atom_site_fract_x
_atom_site_fract_y
_atom_site_fract_z
Si1 0.726 0.944 0.219
Si2 0.726 0.507 0.781
Si3 0.257 0.976 0.281
Si4 0.694 0.976 0.719
Si5 0.024 0.743 0.719
Si6 0.024 0.306 0.281
Si7 0.493 0.274 0.219
Si8 0.056 0.274 0.781
Tb1 0.875 0.125 0.250
Tb2 0.875 0.625 0.750
Tb3 0.375 0.125 0.250
Tb4 0.875 0.125 0.750
```

Calculated values
crystal system	tetragonal
DFT total energy	-4.9115	eV/atom


Number 1: density of states at the Fermi level 2.296 states/eV/cell. Number 2: density of states at the Fermi level 2.864 states/eV/cell. Number 3: density of states at the Fermi level 4.389 states/eV/cell. Number 4: density of states at the Fermi level 4.000 states/eV/cell. Number 5: density of states at the Fermi level 3.627 states/eV/cell. Number 6: density of states at the Fermi level 3.377 states/eV/cell. Number 7: density of states at the Fermi level 2.928 states/eV/cell. Number 8: density of states at the Fermi level 4.046 states/eV/cell. Number 9: density of states at the Fermi level 3.613 states/eV/cell. Number 10: density of states at the Fermi level 3.035 states/eV/cell. Number 11: density of states at the Fermi level 8.272 states/eV/cell. Number 12: density of states at the Fermi level 4.825 states/eV/cell. Number 13: density of states at the Fermi level 3.226 states/eV/cell. Number 14: density of states at the Fermi level 3.203 states/eV/cell. Number 15: density of states at the Fermi level 4.638 states/eV/cell. Number 16: density of states at the Fermi level 2.794 states/eV/cell. Number 17: density of states at the Fermi level 8.217 states/eV/cell. Number 18: density of states at the Fermi level 1.775 states/eV/cell. Number 19: density of states at the Fermi level 6.255 states/eV/cell. Number 20: density of states at the Fermi level 8.798 states/eV/cell.